# LiGaRh2O6

A relaxed structure of LiGaRh2O6 (PBE, Alexandria via LeMat-Bulk).

Unit cell a=4.8973 b=4.9572 c=4.9572 alpha=90.00 beta=90.00 gamma=90.00
Element x y z (fractional)
Li 0.5675 0.5000 0.5000
Ga 0.5714 0.0000 0.0000
Rh 0.9543 0.5000 0.0000
Rh 0.9543 0.0000 0.5000
O 0.7551 0.2490 0.2490
O 0.7551 0.2490 0.7510
O 0.1764 0.5000 0.5000
O 0.2023 0.0000 0.0000
O 0.7551 0.7510 0.7510
O 0.7551 0.7510 0.2490

Properties
Total magnetization in μB/f.u.: 2.1
Energy relative to the elements, uncorrected in eV/atom: -0.57



# Li3Ga3RhO8

A relaxed structure of Li3Ga3RhO8 (PBE, Alexandria via LeMat-Bulk).

Unit cell a=5.9748 b=5.9746 c=5.9870 alpha=119.94 beta=90.00 gamma=120.00
Element x y z (fractional)
Li 0.0000 0.0000 0.0000
Li 0.0000 0.5000 0.0000
Li 0.5000 0.5000 0.0000
Ga 0.5000 0.0000 0.5000
Ga 0.5000 0.5000 0.5000
Ga 0.0000 0.5000 0.5000
Rh 0.0000 0.0000 0.5000
O 0.2587 0.5174 0.2762
O 0.7413 0.4826 0.7238
O 0.7622 0.5243 0.2829
O 0.2378 0.4757 0.7171
O 0.7622 0.0206 0.2829
O 0.2378 0.9794 0.7171
O 0.2585 0.0206 0.2829
O 0.7415 0.9794 0.7171

Properties
Total magnetization in μB/f.u.: 1.0
Energy relative to the elements, uncorrected in eV/atom: -1.67



# LiGaRh2O4

A relaxed structure of LiGaRh2O4 (PBE, Alexandria via LeMat-Bulk).

Unit cell a=2.9701 b=6.3011 c=5.4367 alpha=72.45 beta=90.00 gamma=90.00
Element x y z (fractional)
Li 0.5000 0.5000 0.0000
Ga 0.0000 0.0000 0.0000
Rh 0.5000 0.0000 0.5000
Rh 0.0000 0.5000 0.5000
O 0.5000 0.1701 0.1026
O 0.5000 0.8299 0.8974
O 0.0000 0.1761 0.6072
O 0.0000 0.8239 0.3928

Properties
Total magnetization in μB/f.u.: 1.3
Energy relative to the elements, uncorrected in eV/atom: -1.02



# Li3Ga2RhO6

A relaxed structure of Li3Ga2RhO6 (PBE, Alexandria via LeMat-Bulk).

Unit cell a=5.1843 b=5.1843 c=5.1468 alpha=99.64 beta=99.64 gamma=120.02
Element x y z (fractional)
Li 0.1615 0.8385 0.5000
Li 0.8385 0.1615 0.5000
Li 0.5000 0.5000 0.5000
Ga 0.3330 0.6670 0.0000
Ga 0.6670 0.3330 0.0000
Rh 0.0000 0.0000 0.0000
O 0.9243 0.5832 0.7739
O 0.7342 0.7342 0.2270
O 0.0757 0.4168 0.2261
O 0.5832 0.9243 0.7739
O 0.2658 0.2658 0.7730
O 0.4168 0.0757 0.2261

Properties
Total magnetization in μB/f.u.: 0.0
Energy relative to the elements, uncorrected in eV/atom: -1.72



# LiGa2SO6

A relaxed structure of LiGa2SO6 (PBE, Alexandria via LeMat-Bulk).

Unit cell a=5.6965 b=6.6817 c=6.6817 alpha=94.81 beta=75.70 gamma=75.70
Element x y z (fractional)
Li 0.2500 0.8986 0.1014
Li 0.7500 0.1014 0.8986
Ga 0.3427 0.7221 0.5448
Ga 0.1573 0.4552 0.2779
Ga 0.6573 0.2779 0.4552
Ga 0.8427 0.5448 0.7221
S 0.2500 0.1888 0.8112
S 0.7500 0.8112 0.1888
O 0.1969 0.9747 0.7894
O 0.3031 0.2106 0.0253
O 0.8031 0.0253 0.2106
O 0.6969 0.7894 0.9747
O 0.4380 0.8838 0.3341
O 0.0620 0.6659 0.1162
O 0.5620 0.1162 0.6659
O 0.9380 0.3341 0.8838
O 0.0273 0.6887 0.5529
O 0.4727 0.4471 0.3113
O 0.9727 0.3113 0.4471
O 0.5273 0.5529 0.6887

Properties
Total magnetization in μB/f.u.: 1.0
Energy relative to the elements, uncorrected in eV/atom: -1.46



# Li2GaSbO4

A relaxed structure of Li2GaSbO4 (PBE, Alexandria via LeMat-Bulk).

Unit cell a=4.7477 b=4.5891 c=6.1588 alpha=116.64 beta=116.30 gamma=90.72
Element x y z (fractional)
Li 0.4952 0.9811 0.9759
Li 0.2391 0.2397 0.4711
Ga 0.9809 0.4943 0.9702
Sb 0.6975 0.6811 0.4432
O 0.6290 0.6122 0.7779
O 0.9177 0.3966 0.2150
O 0.3634 0.8657 0.2083
O 0.0643 0.1163 0.7126

Properties
Total magnetization in μB/f.u.: 0.0
Energy relative to the elements, uncorrected in eV/atom: -1.67



# LiGaSbO4

A relaxed structure of LiGaSbO4 (PBE, Alexandria via LeMat-Bulk).

Unit cell a=6.0216 b=6.2544 c=6.5943 alpha=121.81 beta=90.00 gamma=118.78
Element x y z (fractional)
Li 0.8748 0.7497 0.1248
Li 0.1252 0.2503 0.8752
Ga 0.5000 0.5000 0.5000
Ga 0.0000 0.5000 0.5000
Sb 0.5000 0.0000 0.5000
Sb 0.5000 0.0000 0.0000
O 0.7433 0.4866 0.7015
O 0.2811 0.0238 0.2619
O 0.7427 0.0238 0.2619
O 0.7433 0.4866 0.2851
O 0.2567 0.5134 0.7149
O 0.7189 0.9762 0.7381
O 0.2573 0.9762 0.7381
O 0.2567 0.5134 0.2985

Properties
Total magnetization in μB/f.u.: 0.0
Energy relative to the elements, uncorrected in eV/atom: -1.59



# Li3ScGa2O6

A relaxed structure of Li3ScGa2O6 (PBE, Alexandria via LeMat-Bulk).

Unit cell a=5.2086 b=5.2086 c=5.2094 alpha=99.41 beta=99.41 gamma=120.12
Element x y z (fractional)
Li 0.1764 0.8236 0.5000
Li 0.8236 0.1764 0.5000
Li 0.5000 0.5000 0.5000
Sc 0.0000 0.0000 0.0000
Ga 0.3337 0.6663 0.0000
Ga 0.6663 0.3337 0.0000
O 0.9253 0.5796 0.7731
O 0.7289 0.7289 0.2281
O 0.0747 0.4204 0.2269
O 0.5796 0.9253 0.7731
O 0.2711 0.2711 0.7719
O 0.4204 0.0747 0.2269

Properties
Total magnetization in μB/f.u.: 0.0
Energy relative to the elements, uncorrected in eV/atom: -2.27



# Li2ScGaO4

A relaxed structure of Li2ScGaO4 (PBE, Alexandria via LeMat-Bulk).

Unit cell a=3.0415 b=5.2346 c=5.2396 alpha=109.65 beta=90.00 gamma=90.00
Element x y z (fractional)
Li 0.5000 0.0000 0.5000
Li 0.0000 0.5000 0.5000
Sc 0.5000 0.5000 0.0000
Ga 0.0000 0.0000 0.0000
O 0.5000 0.2314 0.2272
O 0.5000 0.7686 0.7728
O 0.0000 0.2502 0.7699
O 0.0000 0.7498 0.2301

Properties
Total magnetization in μB/f.u.: 0.0
Energy relative to the elements, uncorrected in eV/atom: -2.42



# LiScGaO2

A relaxed structure of LiScGaO2 (PBE, Alexandria via LeMat-Bulk).

Unit cell a=4.0686 b=5.4398 c=4.0686 alpha=90.00 beta=90.00 gamma=90.00
Element x y z (fractional)
Sc 0.0000 0.0000 0.0000
O 0.0000 0.0000 0.5000
O 0.5000 0.0000 0.0000
Ga 0.0000 0.5000 0.0000
Li 0.5000 0.5000 0.5000

Properties
Total magnetization in μB/f.u.: 0.6
Energy relative to the elements, uncorrected in eV/atom: -1.08



# Li4Sc3GaO8

A relaxed structure of Li4Sc3GaO8 (PBE, Alexandria via LeMat-Bulk).

Unit cell a=6.1528 b=6.0821 c=6.1545 alpha=120.35 beta=119.99 gamma=90.00
Element x y z (fractional)
Li 0.5000 0.0000 0.0000
Li 0.5000 0.0000 0.5000
Li 0.0000 0.0000 0.0000
Li 0.0000 0.0000 0.5000
Sc 0.5000 0.5000 0.0000
Sc 0.5000 0.5000 0.5000
Sc 0.0000 0.5000 0.5000
Ga 0.0000 0.5000 0.0000
O 0.2389 0.7299 0.9906
O 0.2389 0.7298 0.4778
O 0.2576 0.2723 0.5151
O 0.7516 0.7299 0.9906
O 0.2484 0.2701 0.0094
O 0.7424 0.7277 0.4849
O 0.7611 0.2702 0.5222
O 0.7611 0.2701 0.0094

Properties
Total magnetization in μB/f.u.: 0.0
Energy relative to the elements, uncorrected in eV/atom: -2.68



# LiGaSe2O6

A relaxed structure of LiGaSe2O6 (PBE, Alexandria via LeMat-Bulk).

Unit cell a=9.1123 b=9.1123 c=9.1123 alpha=107.78 beta=107.78 gamma=112.91
Element x y z (fractional)
Li 0.6892 0.8750 0.3142
Li 0.5608 0.3750 0.6858
Li 0.6250 0.3108 0.1858
Li 0.1250 0.4392 0.8142
Ga 0.4107 0.8750 0.0357
Ga 0.8393 0.3750 0.9643
Ga 0.6250 0.5893 0.4643
Ga 0.1250 0.1607 0.5357
Se 0.8529 0.1326 0.1709
Se 0.2883 0.6174 0.2203
Se 0.9617 0.6819 0.8291
Se 0.3971 0.0681 0.7797
Se 0.3181 0.1471 0.2797
Se 0.3826 0.6029 0.6709
Se 0.8674 0.0383 0.7203
Se 0.9319 0.7117 0.3291
O 0.6782 0.0460 0.2205
O 0.4245 0.7040 0.1323
O 0.8255 0.4577 0.7795
O 0.5718 0.2923 0.8677
O 0.5423 0.3218 0.3677
O 0.2960 0.4282 0.7205
O 0.9540 0.1745 0.6323
O 0.7077 0.5755 0.2795
O 0.8384 0.3151 0.1590
O 0.0939 0.4349 0.0234
O 0.1561 0.6794 0.8410
O 0.4116 0.0706 0.9766
O 0.3206 0.1616 0.4766
O 0.5651 0.5884 0.6590
O 0.6849 0.8439 0.5234
O 0.9294 0.9061 0.3410
O 0.0407 0.2518 0.3760
O 0.3742 0.4982 0.2889
O 0.8758 0.6647 0.6240
O 0.2093 0.0853 0.7111
O 0.3353 0.9593 0.2111
O 0.5018 0.7907 0.8760
O 0.7482 0.1242 0.7889
O 0.9147 0.6258 0.1240

Properties
Total magnetization in μB/f.u.: 0.0
Energy relative to the elements, uncorrected in eV/atom: -1.30



# LiGa2SeO6

A relaxed structure of LiGa2SeO6 (PBE, Alexandria via LeMat-Bulk).

Unit cell a=5.2991 b=6.7053 c=6.7053 alpha=85.45 beta=81.21 gamma=81.21
Element x y z (fractional)
Li 0.2500 0.9094 0.0906
Li 0.7500 0.0906 0.9094
Ga 0.2379 0.7890 0.6000
Ga 0.2621 0.4000 0.2110
Ga 0.7621 0.2110 0.4000
Ga 0.7379 0.6000 0.7890
Se 0.2500 0.2412 0.7588
Se 0.7500 0.7588 0.2412
O 0.1438 0.9998 0.7882
O 0.3562 0.2118 0.0002
O 0.8562 0.0002 0.2118
O 0.6438 0.7882 0.9998
O 0.4155 0.8720 0.3538
O 0.0845 0.6462 0.1280
O 0.5845 0.1280 0.6462
O 0.9155 0.3538 0.8720
O 0.9161 0.7300 0.5715
O 0.5839 0.4285 0.2700
O 0.0839 0.2700 0.4285
O 0.4161 0.5715 0.7300

Properties
Total magnetization in μB/f.u.: 1.0
Energy relative to the elements, uncorrected in eV/atom: -1.37



# LiGaSi2O6

A relaxed structure of LiGaSi2O6 (PBE, Alexandria via LeMat-Bulk).

Unit cell a=5.3518 b=7.6912 c=7.6912 alpha=91.19 beta=69.66 gamma=69.66
Element x y z (fractional)
Li 0.2500 0.7535 0.2465
Li 0.7500 0.2465 0.7535
Ga 0.2500 0.2471 0.7529
Ga 0.7500 0.7529 0.2471
Si 0.2975 0.8295 0.6652
Si 0.2025 0.3348 0.1705
Si 0.7025 0.1705 0.3348
Si 0.7975 0.6652 0.8295
O 0.1227 0.0561 0.7327
O 0.3773 0.2673 0.9439
O 0.8773 0.9439 0.2673
O 0.6227 0.7327 0.0561
O 0.4106 0.7740 0.4373
O 0.0894 0.5627 0.2260
O 0.5894 0.2260 0.5627
O 0.9106 0.4373 0.7740
O 0.0773 0.7254 0.7633
O 0.4227 0.2367 0.2746
O 0.9227 0.2746 0.2367
O 0.5773 0.7633 0.7254

Properties
E above lowest polymorph in meV per atom: 0
Total magnetization in μB/f.u.: 0.0
Energy relative to the elements, uncorrected in eV/atom: -2.50



# LiGaSiO4

A relaxed structure of LiGaSiO4 (PBE, Alexandria via LeMat-Bulk).

Unit cell a=5.3084 b=5.3084 c=5.8773 alpha=90.00 beta=90.00 gamma=113.66
Element x y z (fractional)
Li 0.5000 0.5000 0.5000
Li 0.5000 0.5000 0.0000
Ga 0.8516 0.1484 0.2500
Ga 0.1484 0.8516 0.7500
Si 0.1399 0.8601 0.2500
Si 0.8601 0.1399 0.7500
O 0.2009 0.2348 0.7500
O 0.7652 0.7991 0.7500
O 0.7501 0.2499 0.9760
O 0.7501 0.2499 0.5240
O 0.2499 0.7501 0.0240
O 0.2499 0.7501 0.4760
O 0.7991 0.7652 0.2500
O 0.2348 0.2009 0.2500

Properties
Total magnetization in μB/f.u.: 0.0
Energy relative to the elements, uncorrected in eV/atom: -2.24



# LiGaSi2O6

A relaxed structure of LiGaSi2O6 (PBE, Alexandria via LeMat-Bulk).

Unit cell a=6.5320 b=6.5320 c=5.3356 alpha=74.67 beta=74.67 gamma=83.60
Element x y z (fractional)
Li 0.7416 0.2584 0.7500
Li 0.2584 0.7416 0.2500
Ga 0.1015 0.8985 0.7500
Ga 0.8985 0.1015 0.2500
Si 0.6129 0.7945 0.7622
Si 0.3871 0.2055 0.2378
Si 0.7945 0.6129 0.2622
Si 0.2055 0.3871 0.7378
O 0.3558 0.3548 0.9487
O 0.3548 0.3558 0.4487
O 0.6442 0.6452 0.0513
O 0.6452 0.6442 0.5513
O 0.9706 0.8017 0.1442
O 0.6271 0.1075 0.1718
O 0.0294 0.1983 0.8558
O 0.8017 0.9706 0.6442
O 0.1983 0.0294 0.3558
O 0.3729 0.8925 0.8282
O 0.1075 0.6271 0.6718
O 0.8925 0.3729 0.3282

Properties
E above lowest polymorph in meV per atom: 32
Total magnetization in μB/f.u.: 0.0
Energy relative to the elements, uncorrected in eV/atom: -2.47



# LiGaSiO2

A relaxed structure of LiGaSiO2 (PBE, Alexandria via LeMat-Bulk).

Unit cell a=3.4021 b=6.5879 c=3.4021 alpha=90.00 beta=90.00 gamma=90.00
Element x y z (fractional)
Si 0.0000 0.0000 0.0000
O 0.0000 0.0000 0.5000
O 0.5000 0.0000 0.0000
Ga 0.5000 0.5000 0.5000
Li 0.0000 0.5000 0.0000

Properties
Total magnetization in μB/f.u.: 0.0
Energy relative to the elements, uncorrected in eV/atom: -0.83